Here is a geometry-optimized LaTb3Th3 structure from Alexandria. Energies are from PBE.

Calculated values
- total moment (μB per formula unit) = 0.00
- E_tot (hartree per atom) = -0.213
- formation energy (eV per atom) = 0.0729
- symmetry = P6_3/m, No. 176

a = 9.5392 Å, b = 9.5392 Å, c = 5.8883 Å
α = 90.00°, β = 90.00°, γ = 120.00°
Element x y z (fractional)
La 0.3333 0.6667 0.2500
La 0.6667 0.3333 0.7500
Tb 0.0429 0.2387 0.2500
Tb 0.1958 0.9571 0.2500
Tb 0.2387 0.1958 0.7500
Tb 0.7613 0.8042 0.2500
Tb 0.8042 0.0429 0.7500
Tb 0.9571 0.7613 0.7500
Th 0.0998 0.4853 0.7500
Th 0.3854 0.9002 0.7500
Th 0.4853 0.3854 0.2500
Th 0.5147 0.6146 0.7500
Th 0.6146 0.0998 0.2500
Th 0.9002 0.5147 0.2500



Here is a geometry-optimized LaRe2Pt structure from Alexandria. Energies are from PBE.

Calculated values
- ΔE to the lowest computed polymorph (eV per atom) = 0.000
- total moment (μB per formula unit) = 0.00
- E_tot (hartree per atom) = -0.331
- formation energy (eV per atom) = -0.0312
- symmetry = R3m, No. 160

a = 6.0300 Å, b = 6.0300 Å, c = 6.0300 Å
α = 41.92°, β = 41.92°, γ = 41.92°
Element x y z (fractional)
La 0.0000 0.0000 0.0000
Re 0.1960 0.1960 0.1960
Re 0.5173 0.5173 0.5173
Pt 0.7818 0.7818 0.7818



Here is a geometry-optimized TaCuMo2 structure from Alexandria. Energies are from PBE.

Calculated values
- ΔE to the lowest computed polymorph (eV per atom) = 0.088
- total moment (μB per formula unit) = 0.00
- E_tot (hartree per atom) = -0.340
- formation energy (eV per atom) = 0.1580
- symmetry = I-4m2, No. 119

a = 4.6625 Å, b = 4.6625 Å, c = 4.6625 Å
α = 127.17°, β = 127.17°, γ = 77.98°
Element x y z (fractional)
Ta 0.0000 0.0000 0.0000
Cu 0.2500 0.7500 0.5000
Mo 0.5000 0.5000 0.0000
Mo 0.7500 0.2500 0.5000



Here is a geometry-optimized Tb3TiGa12 structure from Alexandria. Energies are from PBE.

Calculated values
- total moment (μB per formula unit) = 0.00
- E_tot (hartree per atom) = -0.151
- formation energy (eV per atom) = -0.4793
- symmetry = P4/mmm, No. 123

a = 4.2169 Å, b = 4.2169 Å, c = 16.8591 Å
α = 90.00°, β = 90.00°, γ = 90.00°
Element x y z (fractional)
Tb 0.0000 0.0000 0.0000
Tb 0.0000 0.0000 0.2597
Tb 0.0000 0.0000 0.7403
Ti 0.0000 0.0000 0.5000
Ga 0.0000 0.5000 0.1288
Ga 0.0000 0.5000 0.3866
Ga 0.0000 0.5000 0.6134
Ga 0.0000 0.5000 0.8712
Ga 0.5000 0.0000 0.1288
Ga 0.5000 0.0000 0.3866
Ga 0.5000 0.0000 0.6134
Ga 0.5000 0.0000 0.8712
Ga 0.5000 0.5000 0.0000
Ga 0.5000 0.5000 0.2531
Ga 0.5000 0.5000 0.5000
Ga 0.5000 0.5000 0.7469



Here is a geometry-optimized MnBeB2 structure from Alexandria. Energies are from PBE.

Calculated values
- total moment (μB per formula unit) = 1.63
- E_tot (hartree per atom) = -0.241
- formation energy (eV per atom) = 0.0076
- symmetry = R-3m, No. 166

a = 3.9185 Å, b = 3.9185 Å, c = 3.9185 Å
α = 47.54°, β = 47.54°, γ = 47.54°
Element x y z (fractional)
Mn 0.0000 0.0000 0.0000
Be 0.5000 0.5000 0.5000
B 0.2068 0.2068 0.2068
B 0.7932 0.7932 0.7932



Here is a geometry-optimized Na4PuZr3Se8 structure from Alexandria. Energies are from PBE.

Calculated values
- total moment (μB per formula unit) = 5.78
- E_tot (hartree per atom) = -0.217
- raw formation energy (eV per atom) = -1.327
- symmetry = R-3m, No. 166

a = 8.4666 Å, b = 8.4666 Å, c = 8.4666 Å
α = 55.37°, β = 55.37°, γ = 55.37°
Element x y z (fractional)
Na 0.0000 0.0000 0.0000
Na 0.0000 0.5000 0.5000
Na 0.5000 0.0000 0.5000
Na 0.5000 0.5000 0.0000
Pu 0.5000 0.5000 0.5000
Zr 0.0000 0.0000 0.5000
Zr 0.0000 0.5000 0.0000
Zr 0.5000 0.0000 0.0000
Se 0.2301 0.7496 0.7496
Se 0.2414 0.2414 0.2414
Se 0.2504 0.2504 0.7699
Se 0.2504 0.7699 0.2504
Se 0.7496 0.2301 0.7496
Se 0.7496 0.7496 0.2301
Se 0.7586 0.7586 0.7586
Se 0.7699 0.2504 0.2504



Here is a geometry-optimized BeFePd6 structure from Alexandria. Energies are from PBE.

Calculated values
- ΔE to the lowest computed polymorph (eV per atom) = 0.060
- total moment (μB per formula unit) = 4.09
- E_tot (hartree per atom) = -0.204
- formation energy (eV per atom) = -0.1221
- symmetry = P-1, No. 2

a = 4.9181 Å, b = 4.9278 Å, c = 4.9457 Å
α = 98.45°, β = 98.19°, γ = 98.54°
Element x y z (fractional)
Be 0.0000 0.0000 0.0000
Fe 0.5000 0.5000 0.5000
Pd 0.0636 0.7713 0.6093
Pd 0.2285 0.3910 0.9340
Pd 0.3909 0.9361 0.2293
Pd 0.6091 0.0639 0.7707
Pd 0.7715 0.6090 0.0660
Pd 0.9364 0.2287 0.3907



Here is a geometry-optimized SmEr2Cl structure from Alexandria. Energies are from PBE.

Calculated values
- total moment (μB per formula unit) = 0.00
- E_tot (hartree per atom) = -0.157
- raw formation energy (eV per atom) = -0.349
- symmetry = R-3m, No. 166

a = 11.2977 Å, b = 11.2977 Å, c = 11.2977 Å
α = 17.43°, β = 17.43°, γ = 17.43°
Element x y z (fractional)
Sm 0.0000 0.0000 0.0000
Er 0.1007 0.1007 0.1007
Er 0.8993 0.8993 0.8993
Cl 0.5000 0.5000 0.5000